CrP2W | PBE | optimized geometry

Properties
Distance to the lowest polymorph of the same formula, meV per atom: 36.3
Total magnetic moment, μB per formula unit: 0.00
ΔH_f (0 K), eV/atom: -0.4127
Calculated density, g cm⁻³: 9.10
Uncorrected energy, eV per cell: -35.0
N(E_F), states/eV per cell: 3.0
SG: No. 44

Cell: 5.9195 5.9195 5.9195 Å, 149.39 148.95 44.16°
Positions (direct):
P1 0.7849 0.2849 0.5000
P2 0.0492 0.0492 0.0000
Cr1 0.2096 0.7096 0.5000
W1 0.4562 0.4562 0.0000